Below is a relaxed K5Tl2Hg12 crystal, with properties calculated at the PBE-GGA level.

Cell: 17.760 8.366 8.357 Å, 90.00 91.70 90.00°
Space group C2/m (No. 12)
One atom of each set of equivalent atoms:
K  0.000  0.000  0.000 x2
K  0.200  0.500  0.534 x4
K  0.243  0.000  0.930 x4
Tl  0.000  0.294  0.500 x4
Hg  0.056  0.500  0.181 x4
Hg  0.106  0.000  0.608 x4
Hg  0.108  0.312  0.851 x8
Hg  0.143  0.184  0.255 x8

## Properties
calculated volume	620.6	Å³/f.u.
energy of formation	-0.18	eV/atom
total magnetization	0.00	μB per formula unit
N(E_F)	17.21	states/eV per cell


Below is a relaxed KTlHg2 crystal, with properties calculated at the PBE-GGA level.

Cell: 5.046 5.046 9.660 Å, 90.00 90.00 90.00°
Space group I-4m2 (No. 119)
One atom of each set of equivalent atoms:
K  0.000  0.000  0.000 x2
Tl  0.000  0.500  0.750 x2
Hg  0.000  0.000  0.500 x2
Hg  0.000  0.500  0.250 x2

## Properties
calculated volume	123.0	Å³/f.u.
polymorph energy (0 for the lowest one)	0.0463	eV/atom
energy of formation	-0.12	eV/atom
total magnetization	0.00	μB per formula unit
N(E_F)	4.02	states/eV per cell


Below is a relaxed KTl3Hg crystal, with properties calculated at the PBE-GGA level.

Cell: 16.686 11.014 7.549 Å, 90.00 104.46 90.00°
Space group C2/c (No. 15)
One atom of each set of equivalent atoms:
K  0.000  0.036  0.250 x4
K  0.000  0.360  0.750 x4
Tl  0.178  0.171  0.605 x8
Tl  0.180  0.157  0.056 x8
Tl  0.191  0.481  0.594 x8
Hg  0.088  0.334  0.253 x8

## Properties
calculated volume	167.9	Å³/f.u.
polymorph energy (0 for the lowest one)	0.0000	eV/atom
energy of formation	-0.10	eV/atom
total magnetization	0.00	μB per formula unit
N(E_F)	18.74	states/eV per cell